# 1
! GGA-PBE HPbO2, optimized geometry; values from VASP
! - Fermi-level density of states: 2.15 states/eV/f.u.
! - Excess energy over the best structure of this formula in the dataset: 0 meV per atom
! - Theoretical density: 7.5 Mg/m³
! - Space group: R-3m
&SYSTEM
  ibrav = 0, nat = 12, ntyp = 3
/
ATOMIC_SPECIES
H 1.01 H.upf
Pb 207.20 Pb.upf
O 16.00 O.upf
ATOMIC_POSITIONS crystal
H 0.000 0.000 0.000
H 0.333 0.667 0.667
H 0.667 0.333 0.333
Pb 0.000 0.000 0.500
Pb 0.333 0.667 0.167
Pb 0.667 0.333 0.833
O 0.000 0.000 0.087
O 0.000 0.000 0.913
O 0.333 0.667 0.580
O 0.333 0.667 0.753
O 0.667 0.333 0.247
O 0.667 0.333 0.420
CELL_PARAMETERS angstrom
3.630 0.000 0.000
-1.815 3.144 0.000
0.000 0.000 14.001

# 2
! GGA-PBE H2PbO2, optimized geometry; values from VASP
! - Fermi-level density of states: 0.37 states/eV/f.u.
! - Excess energy over the best structure of this formula in the dataset: 1279 meV per atom
! - Theoretical density: 7.0 Mg/m³
! - Space group: R-3m
&SYSTEM
  ibrav = 0, nat = 15, ntyp = 3
/
ATOMIC_SPECIES
H 1.01 H.upf
Pb 207.20 Pb.upf
O 16.00 O.upf
ATOMIC_POSITIONS crystal
H 0.000 0.000 0.236
H 0.000 0.000 0.764
H 0.333 0.667 0.431
H 0.333 0.667 0.903
H 0.667 0.333 0.097
H 0.667 0.333 0.569
Pb 0.000 0.000 0.000
Pb 0.333 0.667 0.667
Pb 0.667 0.333 0.333
O 0.000 0.000 0.419
O 0.000 0.000 0.581
O 0.333 0.667 0.086
O 0.333 0.667 0.248
O 0.667 0.333 0.752
O 0.667 0.333 0.914
CELL_PARAMETERS angstrom
3.028 0.000 0.000
-1.514 2.622 0.000
0.000 0.000 21.748